# 1
DFT (PBE-GGA) results for a relaxed structure of Sm3ZnCd2.

Lattice parameters (Å, degrees): 5.318 5.318 13.024 90.00 90.00 120.00
Site moments in Bohr magnetons follow the coordinates.
Sites, in units of the cell vectors:
Sm 0.333 0.667 0.416  0.14
Sm 0.667 0.333 0.090  0.17
Sm 0.000 0.000 0.744  0.17
Sm 0.000 0.000 0.256  0.17
Sm 0.333 0.667 0.910  0.17
Sm 0.667 0.333 0.584  0.14
Zn 0.333 0.667 0.664  0.01
Zn 0.667 0.333 0.336  0.01
Cd 0.000 0.000 0.500  0.01
Cd 0.333 0.667 0.165  0.02
Cd 0.667 0.333 0.835  0.02
Cd 0.000 0.000 0.000  0.01

Summary:
The formation energy comes out at -0.304 eV/atom. Its total magnetization is 1.05 μB per formula unit. The calculation puts the calculated total energy at -3.181 eV/atom. Its crystal system is trigonal. The calculation puts the energy relative to the lowest polymorph listed for this composition at 15 meV/atom. For the density of states at the Fermi level, the calculation gives 7.04 states/eV/f.u. The volume comes out at 319.0 Å³ per cell.

***

# 2
DFT (PBE-GGA) results for a relaxed structure of SmZn4Cd8.

Lattice parameters (Å, degrees): 5.699 7.378 7.378 81.42 67.28 67.28
Sites, in units of the cell vectors:
Sm 0.000 0.000 0.000
Zn 0.000 0.000 0.500
Zn 0.500 0.000 0.500
Zn 0.000 0.500 0.000
Zn 0.500 0.500 0.000
Cd 0.000 0.346 0.654
Cd 0.000 0.654 0.346
Cd 0.346 0.654 0.654
Cd 0.654 0.346 0.346
Cd 0.500 0.783 0.217
Cd 0.500 0.217 0.783
Cd 0.283 0.217 0.217
Cd 0.717 0.783 0.783

Summary:
The formation energy comes out at -0.119 eV/atom. Its total magnetization is 0.00 μB per formula unit. The calculation puts the calculated total energy at -1.437 eV/atom. Its crystal system is tetragonal. For the density of states at the Fermi level, the calculation gives 2.06 states/eV/f.u. The volume comes out at 264.0 Å³ per cell.

***

# 3
DFT (PBE-GGA) results for a relaxed structure of Sm4ZnCd.

Lattice parameters (Å, degrees): 5.084 5.084 7.436 89.98 89.99 90.00
Sites, in units of the cell vectors:
Sm 0.501 0.997 0.262
Sm 0.501 0.998 0.734
Sm 0.001 0.497 0.734
Sm 0.001 0.497 0.262
Zn 0.001 0.997 0.498
Cd 0.501 0.497 0.998

Summary:
The formation energy comes out at 0.062 eV/atom. Its total magnetization is 0.00 μB per formula unit. The calculation puts the calculated total energy at -3.449 eV/atom. Its crystal system is tetragonal. The calculation puts the energy relative to the lowest polymorph listed for this composition at 258 meV/atom. For the density of states at the Fermi level, the calculation gives 10.04 states/eV/f.u. The volume comes out at 192.2 Å³ per cell.

***

# 4
DFT (PBE-GGA) results for a relaxed structure of SmZn2Cd6.

Lattice parameters (Å, degrees): 4.373 4.373 10.215 90.00 90.00 90.00
Sites, in units of the cell vectors:
Sm 0.000 0.000 0.000
Zn 0.500 0.500 0.117
Zn 0.500 0.500 0.883
Cd 0.000 0.500 0.278
Cd 0.500 0.000 0.278
Cd 0.000 0.500 0.722
Cd 0.500 0.000 0.722
Cd 0.500 0.500 0.500
Cd 0.000 0.000 0.500

Summary:
The formation energy comes out at -0.147 eV/atom. Its total magnetization is 0.00 μB per formula unit. The calculation puts the calculated total energy at -1.565 eV/atom. Its crystal system is tetragonal. For the density of states at the Fermi level, the calculation gives 4.34 states/eV/f.u. The volume comes out at 195.3 Å³ per cell.